1.
SmMg2ScPd4: relaxed, PBE-GGA.

Cell lengths 4.6209, 4.6209, 8.5683 Å; angles 74.36, 74.36, 60.00 degrees
Closest atoms and distances in Å follow each position.
Fractional positions:
Sm 0.0000 0.0000 0.0000  8 Pd 3.00-3.11
Pd 0.1274 0.1274 0.6177  4 Mg 2.82-2.84, 3 Sc 2.83, 1 Sm 3.11
Mg 0.2437 0.2437 0.2690  7 Pd 2.79-2.84
Mg 0.7563 0.7563 0.7310  7 Pd 2.79-2.84
Sc 0.5000 0.5000 0.5000  8 Pd 2.70-2.83
Pd 0.6107 0.6107 0.1679  1 Sc 2.70, 3 Mg 2.79, 3 Sm 3.00
Pd 0.8726 0.8726 0.3823  4 Mg 2.82-2.84, 3 Sc 2.83, 1 Sm 3.11
Pd 0.3893 0.3893 0.8321  1 Sc 2.70, 3 Mg 2.79, 3 Sm 3.00

Computed properties:
symmetry	R-3m, No. 166
energy relative to the elements	-18.0	kcal/mol of atoms
total moment	0.00	μB per cell
volume	150.6	Å³ per cell
raw total energy	-5.159	eV/atom
D(E_F)	4.43	states/eV/f.u.

=====

2.
CaPuZn2O6: relaxed, PBE-GGA.

Cell lengths 5.6185, 5.5728, 6.1584 Å; angles 61.48, 57.75, 57.52 degrees
Closest atoms and distances in Å follow each position.
Fractional positions:
O 0.3658 0.7185 0.8193  1 Zn 1.97, 1 Pu 2.05
O 0.2468 0.9285 0.2515  1 Zn 1.98, 1 Pu 2.07
Pu 0.3176 0.3202 0.0409  5 O 2.00-2.21
O 0.1550 0.4070 0.7428  2 Zn 2.00-2.16, 1 Pu 2.21
Zn 0.5151 0.5226 0.3823  4 O 1.98-2.16
O 0.7174 0.1169 0.7869  1 Pu 2.00, 1 Zn 2.04
O 0.6179 0.2179 0.2328  2 Zn 1.98-2.09
Zn 0.0115 0.0769 0.9118  4 O 1.97-2.09
O 0.9124 0.5371 0.2857  1 Pu 2.01, 1 Zn 2.02
Ca 0.8021 0.8160 0.5612  6 O 2.30-2.46

Computed properties:
symmetry	P1, No. 1
total moment	2.00	μB per cell
formation energy without anion corrections	-2.15	eV per atom
volume	132.5	Å³ per cell
raw total energy	-7.013	eV/atom
D(E_F)	5.52	states/eV/f.u.

=====

3.
Rb3TmPu2Te6: relaxed, PBE-GGA.

Cell lengths 7.9077, 7.9077, 8.9224 Å; angles 98.51, 98.51, 119.99 degrees
Closest atoms and distances in Å follow each position.
Fractional positions:
Rb 0.8321 0.1679 0.5000  6 Te 3.67-3.70
Pu 0.6666 0.3334 0.0000  6 Te 3.15
Te 0.0662 0.3936 0.1986  1 Tm 3.09, 2 Pu 3.15
Rb 0.1679 0.8321 0.5000  6 Te 3.67-3.70
Te 0.6064 0.9338 0.8014  1 Tm 3.09, 2 Pu 3.15
Pu 0.3334 0.6666 0.0000  6 Te 3.15
Te 0.3936 0.0662 0.1986  1 Tm 3.09, 2 Pu 3.15
Te 0.9338 0.6064 0.8014  1 Tm 3.09, 2 Pu 3.15
Te 0.7389 0.7389 0.1988  1 Tm 3.10, 2 Pu 3.15
Tm 0.0000 0.0000 0.0000  6 Te 3.09-3.10
Te 0.2611 0.2611 0.8012  1 Tm 3.10, 2 Pu 3.15
Rb 0.5000 0.5000 0.5000  6 Te 3.66-3.71

Computed properties:
symmetry	C2/m, No. 12
total moment	10.00	μB per cell
formation energy without anion corrections	-1.18	eV per atom
volume	461.6	Å³ per cell
raw total energy	-5.753	eV/atom
D(E_F)	26.64	states/eV/f.u.

=====

4.
Re4AgP: relaxed, PBE-GGA.

Cell lengths 5.2255, 5.2255, 5.2255 Å; angles 60.00, 60.00, 60.00 degrees
Closest atoms and distances in Å follow each position.
Fractional positions:
Re 0.6250 0.1250 0.6250  6 Re 2.61
Re 0.1250 0.6250 0.6250  6 Re 2.61
Re 0.6250 0.6250 0.6250  6 Re 2.61
P 0.0000 0.0000 0.0000  12 Re 3.06, 4 Ag 3.20
Ag 0.2500 0.2500 0.2500  12 Re 3.06, 4 P 3.20
Re 0.6250 0.6250 0.1250  6 Re 2.61

Computed properties:
symmetry	F-43m, No. 216
energy relative to the elements	21.5	kcal/mol of atoms
total moment	0.00	μB per cell
volume	100.9	Å³ per cell
raw total energy	-8.745	eV/atom
D(E_F)	4.81	states/eV/f.u.

=====

5.
Hf12Sb6W: relaxed, PBE-GGA.

Cell lengths 8.2683, 8.2683, 8.2683 Å; angles 110.66, 110.66, 110.66 degrees
Closest atoms and distances in Å follow each position.
Fractional positions:
Sb 0.4059 0.6306 0.9139  8 Hf 2.96-3.30, 2 Sb 3.22
Hf 0.8059 0.6844 0.5457  4 Sb 2.96-3.30, 7 Hf 2.99-3.29, 1 W 3.06
Hf 0.3156 0.4543 0.1941  4 Sb 2.96-3.30, 7 Hf 2.99-3.29, 1 W 3.06
Hf 0.1941 0.3156 0.4543  4 Sb 2.96-3.30, 7 Hf 2.99-3.29, 1 W 3.06
Sb 0.6306 0.9139 0.4059  8 Hf 2.96-3.30, 2 Sb 3.22
Hf 0.4543 0.1941 0.3156  4 Sb 2.96-3.30, 7 Hf 2.99-3.29, 1 W 3.06
W 0.0000 0.0000 0.0000  12 Hf 3.06-3.13
Hf 0.6844 0.5457 0.8059  4 Sb 2.96-3.30, 7 Hf 2.99-3.29, 1 W 3.06
Hf 0.8334 0.2616 0.9020  6 Hf 2.99-3.23, 4 Sb 3.05-3.14, 1 W 3.13
Hf 0.1666 0.7384 0.0980  6 Hf 2.99-3.23, 4 Sb 3.05-3.14, 1 W 3.13
Sb 0.5941 0.3694 0.0861  8 Hf 2.96-3.30, 2 Sb 3.22
Sb 0.0861 0.5941 0.3694  8 Hf 2.96-3.30, 2 Sb 3.22
Hf 0.0980 0.1666 0.7384  6 Hf 2.99-3.23, 4 Sb 3.05-3.14, 1 W 3.13
Hf 0.9020 0.8334 0.2616  6 Hf 2.99-3.23, 4 Sb 3.05-3.14, 1 W 3.13
Hf 0.5457 0.8059 0.6844  4 Sb 2.96-3.30, 7 Hf 2.99-3.29, 1 W 3.06
Hf 0.2616 0.9020 0.8334  6 Hf 2.99-3.23, 4 Sb 3.05-3.14, 1 W 3.13
Sb 0.9139 0.4059 0.6306  8 Hf 2.96-3.30, 2 Sb 3.22
Hf 0.7384 0.0980 0.1666  6 Hf 2.99-3.23, 4 Sb 3.05-3.14, 1 W 3.13
Sb 0.3694 0.0861 0.5941  8 Hf 2.96-3.30, 2 Sb 3.22

Computed properties:
symmetry	R-3, No. 148
total moment	0.00	μB per cell
formation energy without anion corrections	-0.24	eV per atom
volume	414.9	Å³ per cell
raw total energy	-8.510	eV/atom
D(E_F)	16.90	states/eV/f.u.

=====

6.
ScGeSeS: relaxed, PBE-GGA.

Cell lengths 3.6409, 3.6392, 7.3410 Å; angles 89.92, 89.98, 59.98 degrees
Closest atoms and distances in Å follow each position.
Fractional positions:
Ge 0.9460 0.4929 0.9971  3 Se 2.84-2.85, 3 S 2.97-2.99
Se 0.6139 0.1558 0.2581  3 Sc 2.78, 3 Ge 2.84-2.85
S 0.6144 0.1545 0.7094  3 Sc 2.58
Sc 0.9476 0.4882 0.5055  3 S 2.58, 3 Se 2.78

Computed properties:
symmetry	Cm, No. 8
total moment	0.00	μB per cell
distance to the lowest polymorph of the same formula	0.29	eV/f.u.
formation energy without anion corrections	-0.88	eV per atom
volume	84.2	Å³ per cell
raw total energy	-5.524	eV/atom
D(E_F)	2.19	states/eV/f.u.